Dy2Y2ErTm2Ni2Te2 (PBE, relaxed); E above lowest polymorph = 0 meV per atom; total magnetic moment = 0.011 μB/cell
1.0
-1.9233 7.7987 4.7832
1.9233 -7.7987 4.7832
1.9233 7.7987 -4.7832
Te Y Tm Dy Er Ni
2 2 2 2 1 2
Cartesian
0.0000 7.7987 2.3082
0.0000 0.0000 1.3541
1.9233 -2.2832 2.3483
1.9233 2.2832 2.3483
0.0000 10.6758 0.9249
0.0000 4.9216 0.9249
1.9233 5.7466 3.7815
1.9233 -5.7466 3.7815
0.0000 0.0000 4.5674
1.9233 4.0784 -0.9041
0.0000 3.7203 3.8791